Entry 1:
The following is a PBE-GGA calculation of a relaxed structure of InNi5Se8, from Alexandria via LeMat-Bulk.

Cell: 7.310 7.310 7.310 Å, 60.00 60.00 60.00°
Fractional positions:
In  0.250  0.250  0.250
Ni  0.000  0.000  0.000
Ni  0.628  0.628  0.115
Ni  0.628  0.628  0.628
Ni  0.115  0.628  0.628
Ni  0.628  0.115  0.628
Se  0.394  0.818  0.394
Se  0.818  0.394  0.394
Se  0.394  0.394  0.394
Se  0.394  0.394  0.818
Se  0.865  0.865  0.405
Se  0.405  0.865  0.865
Se  0.865  0.865  0.865
Se  0.865  0.405  0.865

## Properties
ΔE_f (raw), eV/atom: -0.270
Space group: F-43m, No. 216
E_tot, eV per atom: -4.521
Calculated volume, Å³ per atom: 19.7

Entry 2:
The following is a PBE-GGA calculation of a relaxed structure of Ca6HoSe8, from Alexandria via LeMat-Bulk.

Cell: 8.400 8.400 8.400 Å, 60.00 60.00 60.00°
Fractional positions:
Ca  0.000  0.500  0.500
Ca  0.500  0.000  0.000
Ca  0.500  0.500  0.000
Ca  0.000  0.000  0.500
Ca  0.000  0.500  0.000
Ca  0.500  0.000  0.500
Ho  0.000  0.000  0.000
Se  0.750  0.750  0.750
Se  0.250  0.250  0.250
Se  0.759  0.241  0.241
Se  0.241  0.759  0.759
Se  0.241  0.241  0.759
Se  0.759  0.759  0.241
Se  0.759  0.241  0.759
Se  0.241  0.759  0.241

## Properties
ΔE_f (raw), eV/atom: -1.877
Space group: Fm-3m, No. 225
E_tot, eV per atom: -4.841
Calculated volume, Å³ per atom: 27.9

Entry 3:
The following is a PBE-GGA calculation of a relaxed structure of KNa2SbRh, from Alexandria via LeMat-Bulk.

Cell: 5.563 5.563 5.008 Å, 90.00 90.00 90.00°
Fractional positions:
Sb  0.000  0.000  0.500
K  0.500  0.500  0.500
Rh  0.000  0.000  0.000
Na  0.000  0.500  0.000
Na  0.500  0.000  0.000

## Properties
ΔE_f (raw), eV/atom: -0.179
Space group: P4/mmm, No. 123
E_tot, eV per atom: -3.220
Calculated volume, Å³ per atom: 31.0